[1]
TaSi2Au after structural relaxation. Source: Alexandria via LeMat-Bulk, functional PBE.

The structure in CIF format:
```
data_TaSi2Au
_chemical_formula_sum 'Ta1 Si2 Au1'
_symmetry_space_group_name_H-M 'P m m m'
_symmetry_Int_Tables_number 47
_symmetry_space_group_name_Hall '-P 2 2'
_cell_length_a 2.9011
_cell_length_b 4.0069
_cell_length_c 5.5104
_cell_angle_alpha 90.00
_cell_angle_beta 90.00
_cell_angle_gamma 90.00
loop_
_atom_site_label
_atom_site_type_symbol
_atom_site_fract_x
_atom_site_fract_y
_atom_site_fract_z
Ta1 Ta 0.0000 0.0000 0.0000
Si1 Si 0.5000 0.5000 0.2197
Au1 Au 0.5000 0.0000 0.5000
```

---

[2]
Ta2Si2Au after structural relaxation. Source: Alexandria via LeMat-Bulk, functional PBE.

The structure in CIF format:
```
data_Ta2Si2Au
_chemical_formula_sum 'Ta4 Si4 Au2'
_symmetry_space_group_name_H-M 'P 4/m b m'
_symmetry_Int_Tables_number 127
_symmetry_space_group_name_Hall '-P 4 2ab'
_cell_length_a 6.6382
_cell_length_b 6.6382
_cell_length_c 3.5840
_cell_angle_alpha 90.00
_cell_angle_beta 90.00
_cell_angle_gamma 90.00
loop_
_atom_site_label
_atom_site_type_symbol
_atom_site_fract_x
_atom_site_fract_y
_atom_site_fract_z
Ta1 Ta 0.1721 0.3279 0.0000
Si1 Si 0.1259 0.6259 0.5000
Au1 Au 0.0000 0.0000 0.5000
```

---

[3]
TaSi2Au after structural relaxation. Source: Alexandria via LeMat-Bulk, functional PBE.

The structure in CIF format:
```
data_TaSi2Au
_chemical_formula_sum 'Ta1 Si2 Au1'
_symmetry_space_group_name_H-M 'P m m 2'
_symmetry_Int_Tables_number 25
_symmetry_space_group_name_Hall 'P 2 -2'
_cell_length_a 2.8895
_cell_length_b 4.8435
_cell_length_c 4.5855
_cell_angle_alpha 90.00
_cell_angle_beta 90.00
_cell_angle_gamma 90.00
loop_
_atom_site_label
_atom_site_type_symbol
_atom_site_fract_x
_atom_site_fract_y
_atom_site_fract_z
Ta1 Ta 0.0000 0.0000 0.0000
Si1 Si 0.0000 0.5000 0.2553
Si2 Si 0.5000 0.0000 0.4927
Au1 Au 0.5000 0.5000 0.7558
```

---

[4]
TaSiAu2 after structural relaxation. Source: Alexandria via LeMat-Bulk, functional PBE.

The structure in CIF format:
```
data_TaSiAu2
_chemical_formula_sum 'Ta1 Si1 Au2'
_symmetry_space_group_name_H-M 'P m m m'
_symmetry_Int_Tables_number 47
_symmetry_space_group_name_Hall '-P 2 2'
_cell_length_a 2.9495
_cell_length_b 4.6649
_cell_length_c 4.9956
_cell_angle_alpha 90.00
_cell_angle_beta 90.00
_cell_angle_gamma 90.00
loop_
_atom_site_label
_atom_site_type_symbol
_atom_site_fract_x
_atom_site_fract_y
_atom_site_fract_z
Ta1 Ta 0.0000 0.0000 0.0000
Si1 Si 0.5000 0.5000 0.0000
Au1 Au 0.0000 0.5000 0.5000
Au2 Au 0.5000 0.0000 0.5000
```

---

[5]
TaSi2Au after structural relaxation. Source: Alexandria via LeMat-Bulk, functional PBE.

The structure in CIF format:
```
data_TaSi2Au
_chemical_formula_sum 'Ta2 Si4 Au2'
_symmetry_space_group_name_H-M 'C 1 m 1'
_symmetry_Int_Tables_number 8
_symmetry_space_group_name_Hall 'C -2y'
_cell_length_a 9.5538
_cell_length_b 3.0740
_cell_length_c 4.4909
_cell_angle_alpha 90.00
_cell_angle_beta 106.40
_cell_angle_gamma 90.00
loop_
_atom_site_label
_atom_site_type_symbol
_atom_site_fract_x
_atom_site_fract_y
_atom_site_fract_z
Ta1 Ta 0.0000 0.0000 0.0000
Si1 Si 0.0307 0.5000 0.5271
Si2 Si 0.2603 0.0000 0.8907
Au1 Au 0.2725 0.5000 0.3868
```

---

[6]
TaSiAu2 after structural relaxation. Source: Alexandria via LeMat-Bulk, functional PBE.

The structure in CIF format:
```
data_TaSiAu2
_chemical_formula_sum 'Ta2 Si2 Au4'
_symmetry_space_group_name_H-M 'A m m 2'
_symmetry_Int_Tables_number 38
_symmetry_space_group_name_Hall 'A 2 -2'
_cell_length_a 3.8952
_cell_length_b 2.9851
_cell_length_c 11.6343
_cell_angle_alpha 90.00
_cell_angle_beta 90.00
_cell_angle_gamma 90.00
loop_
_atom_site_label
_atom_site_type_symbol
_atom_site_fract_x
_atom_site_fract_y
_atom_site_fract_z
Ta1 Ta 0.0000 0.0000 0.0000
Si1 Si 0.5000 0.0000 0.4087
Au1 Au 0.0000 0.0000 0.2692
Au2 Au 0.5000 0.0000 0.6398
```

---

[7]
Ta2SiAu after structural relaxation. Source: Alexandria via LeMat-Bulk, functional PBE.

The structure in CIF format:
```
data_Ta2SiAu
_chemical_formula_sum 'Ta6 Si3 Au3'
_symmetry_space_group_name_H-M 'R 3 m'
_symmetry_Int_Tables_number 160
_symmetry_space_group_name_Hall 'R 3 -2"'
_cell_length_a 2.9311
_cell_length_b 2.9311
_cell_length_c 27.9671
_cell_angle_alpha 90.00
_cell_angle_beta 90.00
_cell_angle_gamma 120.00
loop_
_atom_site_label
_atom_site_type_symbol
_atom_site_fract_x
_atom_site_fract_y
_atom_site_fract_z
Ta1 Ta 0.0000 0.0000 0.0000
Ta2 Ta 0.0000 0.0000 0.2425
Si1 Si 0.0000 0.0000 0.4992
Au1 Au 0.0000 0.0000 0.7519
```

---

[8]
TaSi2Au after structural relaxation. Source: Alexandria via LeMat-Bulk, functional PBE.

The structure in CIF format:
```
data_TaSi2Au
_chemical_formula_sum 'Ta2 Si4 Au2'
_symmetry_space_group_name_H-M 'C m m m'
_symmetry_Int_Tables_number 65
_symmetry_space_group_name_Hall '-C 2 2'
_cell_length_a 3.7108
_cell_length_b 4.6921
_cell_length_c 7.5285
_cell_angle_alpha 90.00
_cell_angle_beta 90.00
_cell_angle_gamma 90.00
loop_
_atom_site_label
_atom_site_type_symbol
_atom_site_fract_x
_atom_site_fract_y
_atom_site_fract_z
Ta1 Ta 0.0000 0.0000 0.0000
Si1 Si 0.0000 0.5000 0.2419
Au1 Au 0.0000 0.0000 0.5000
```

---

| no. | uncorrected formation energy (meV/atom) |
| --- | --- |
| 1 | -92.3 |
| 2 | -199.9 |
| 3 | -62.9 |
| 4 | 67.8 |
| 5 | -80.3 |
| 6 | -103.5 |
| 7 | 100.1 |
| 8 | 146.3 |